Version P
Here is Sr2YH after structural relaxation from the Alexandria database. Energies are from PBE.

```
8
Lattice="-3.7902 3.7902 4.7755 3.7902 -3.7902 4.7755 3.7902 3.7902 -4.7755" Properties=species:S:1:pos:R:3 pbc="T T T"
Sr 0.7163 1.8951 1.1939
Sr -1.8951 3.0740 3.5816
Sr -0.7163 5.6854 1.1939
Sr 1.8951 4.5065 3.5816
Y 3.7902 0.0000 2.3877
Y 0.0000 0.0000 4.7755
H 0.0000 0.0000 0.0000
H 0.0000 3.7902 2.3877
```

Properties
Mass density (g/cm³): 3.21
Crystal system: tetragonal
Spin magnetization (μB/f.u.): 0.89

Version Q
Here is Sr2YH after structural relaxation from the Alexandria database. Energies are from PBE.

```
4
Lattice="0.0000 4.2366 4.2366 4.2366 0.0000 4.2366 4.2366 4.2366 0.0000" Properties=species:S:1:pos:R:3 pbc="T T T"
Sr 2.1183 2.1183 2.1183
Sr 6.3549 6.3549 6.3549
Y 0.0000 0.0000 0.0000
H 4.2366 4.2366 4.2366
```

Properties
Mass density (g/cm³): 2.90
Crystal system: cubic
Spin magnetization (μB/f.u.): 0.00

Most stable: version P (next structure +0.669 eV/atom)